# 1
Here is ZrIr2Cl after structural relaxation from Alexandria. Energies are from GGA-PBE.

a b c (Å): 8.620 8.620 8.620
angles (deg): 21.09 21.09 21.09
Fractional coordinates of all 4 atoms:
Zr  0.000  0.000  0.000
Ir  0.254  0.254  0.254
Ir  0.746  0.746  0.746
Cl  0.500  0.500  0.500

Results
- DFT total energy (eV/atom) = -6.970
- formation energy (no corrections) (kJ/mol of formula units) = 23
- excess energy over the best structure of this formula in the dataset (kJ/mol of formula units) = 143



# 2
Here is Re3AsAu after structural relaxation from Alexandria. Energies are from GGA-PBE.

a b c (Å): 4.531 4.531 4.531
angles (deg): 90.00 90.00 90.00
Fractional coordinates of all 5 atoms:
Re  0.000  0.000  0.500
Re  0.000  0.500  0.000
Re  0.500  0.000  0.000
As  0.000  0.000  0.000
Au  0.500  0.500  0.500

Results
- DFT total energy (eV/atom) = -7.375
- ΔH_f (0 K) (eV per atom) = 1.68
- excess energy over the best structure of this formula in the dataset (kJ/mol of formula units) = 0



# 3
Here is Pm2HoTm3Te6 after structural relaxation from Alexandria. Energies are from GGA-PBE.

a b c (Å): 9.821 9.821 8.817
angles (deg): 104.48 104.48 25.38
Fractional coordinates of all 12 atoms:
Pm  0.170  0.170  0.339
Pm  0.830  0.830  0.661
Ho  0.500  0.500  0.000
Tm  0.172  0.172  0.836
Tm  0.500  0.500  0.500
Tm  0.828  0.828  0.164
Te  0.004  0.004  0.750
Te  0.335  0.335  0.926
Te  0.338  0.338  0.408
Te  0.662  0.662  0.592
Te  0.665  0.665  0.074
Te  0.996  0.996  0.250

Results
- DFT total energy (eV/atom) = -5.128
- formation energy (no corrections) (kJ/mol of formula units) = -1466



# 4
Here is MnIn2Re after structural relaxation from Alexandria. Energies are from GGA-PBE.

a b c (Å): 5.959 5.959 5.959
angles (deg): 103.32 103.32 122.64
Fractional coordinates of all 8 atoms:
Mn  0.000  0.000  0.000
Mn  0.750  0.250  0.500
In  0.119  0.625  0.994
In  0.375  0.369  0.494
In  0.631  0.125  0.006
In  0.875  0.881  0.506
Re  0.250  0.750  0.500
Re  0.500  0.500  0.000

Results
- DFT total energy (eV/atom) = -5.867
- ΔH_f (0 K) (eV per atom) = 0.91
- excess energy over the best structure of this formula in the dataset (kJ/mol of formula units) = 247



# 5
Here is EuGe2Pb after structural relaxation from Alexandria. Energies are from GGA-PBE.

a b c (Å): 5.267 5.267 5.267
angles (deg): 60.00 60.00 60.00
Fractional coordinates of all 4 atoms:
Eu  0.000  0.000  0.000
Ge  0.250  0.250  0.250
Ge  0.750  0.750  0.750
Pb  0.500  0.500  0.500

Results
- DFT total energy (eV/atom) = -5.931
- ΔH_f (0 K) (eV per atom) = -0.13
- excess energy over the best structure of this formula in the dataset (kJ/mol of formula units) = 62



# 6
Here is ErSc7Sn2 after structural relaxation from Alexandria. Energies are from GGA-PBE.

a b c (Å): 8.388 8.388 5.151
angles (deg): 90.00 90.00 119.77
Fractional coordinates of all 10 atoms:
Er  0.000  0.000  0.000
Sc  0.055  0.300  0.500
Sc  0.224  0.776  0.000
Sc  0.300  0.055  0.500
Sc  0.500  0.500  0.500
Sc  0.700  0.945  0.500
Sc  0.776  0.224  0.000
Sc  0.945  0.700  0.500
Sn  0.304  0.696  0.500
Sn  0.696  0.304  0.500

Results
- DFT total energy (eV/atom) = -5.489
- ΔH_f (0 K) (eV per atom) = 0.20



# 7
Here is Na3ErNp2Se6 after structural relaxation from Alexandria. Energies are from GGA-PBE.

a b c (Å): 7.219 7.219 7.393
angles (deg): 99.36 99.36 120.01
Fractional coordinates of all 12 atoms:
Na  0.000  0.000  0.000
Na  0.334  0.666  0.000
Na  0.666  0.334  0.000
Er  0.500  0.500  0.500
Np  0.167  0.833  0.500
Np  0.833  0.167  0.500
Se  0.094  0.423  0.269
Se  0.248  0.248  0.730
Se  0.423  0.094  0.269
Se  0.577  0.906  0.731
Se  0.752  0.752  0.270
Se  0.906  0.577  0.731

Results
- DFT total energy (eV/atom) = -5.965
- formation energy (no corrections) (kJ/mol of formula units) = -1570



# 8
Here is LiTbIn after structural relaxation from Alexandria. Energies are from GGA-PBE.

a b c (Å): 6.167 6.167 6.167
angles (deg): 146.17 146.17 48.59
Fractional coordinates of all 3 atoms:
Li  0.000  0.000  0.000
Tb  0.305  0.305  0.000
In  0.620  0.620  0.000

Results
- DFT total energy (eV/atom) = -3.291
- ΔH_f (0 K) (eV per atom) = -0.20



Please write out number 5 again, unchanged.
Here is EuGe2Pb after structural relaxation from Alexandria. Energies are from GGA-PBE.

a b c (Å): 5.267 5.267 5.267
angles (deg): 60.00 60.00 60.00
Fractional coordinates of all 4 atoms:
Eu  0.000  0.000  0.000
Ge  0.250  0.250  0.250
Ge  0.750  0.750  0.750
Pb  0.500  0.500  0.500

Results
- DFT total energy (eV/atom) = -5.931
- ΔH_f (0 K) (eV per atom) = -0.13
- excess energy over the best structure of this formula in the dataset (kJ/mol of formula units) = 62



Question: DFT total energy of number 2 (Re3AsAu)?
Answer: -7.375 eV/atom